Here is a relaxed structure of SrVO3 from Alexandria via LeMat-Bulk. Energies are from PBE+U.

Values from the calculation:
For the calculated total energy, the calculation gives -32.85 eV/f.u. Its space-group type is I-4m2.

Lattice parameters (Å, degrees): 4.494 4.494 8.195 74.09 74.09 90.00
Last column: magnetic moment on the atom in μB.
Element x y z (fractional)
Sr 0.645 0.145 0.710  0.00
Sr 0.855 0.355 0.290  0.00
O 0.185 0.918 0.164  -0.07
O 0.082 0.815 0.836  -0.07
O 0.082 0.349 0.836  -0.07
O 0.651 0.918 0.164  -0.07
O 0.264 0.264 0.472  -0.04
O 0.736 0.736 0.528  -0.04
V 0.000 0.000 0.000  0.03
V 0.250 0.750 0.500  2.29